Record 1
# K3Au | the Alexandria database | GGA-PBE | optimized geometry
# Size of the total moment in μB per atom: 0.0005
# Calculated formation energy in eV per atom: -0.1275
data_K3Au
_chemical_formula_sum 'K9 Au3'
_symmetry_space_group_name_H-M 'R -3 m'
_symmetry_Int_Tables_number 166
_symmetry_space_group_name_Hall '-R 3 2"'
_cell_length_a 4.7774
_cell_length_b 4.7774
_cell_length_c 33.8499
_cell_angle_alpha 90.00
_cell_angle_beta 90.00
_cell_angle_gamma 120.00
loop_
_atom_site_label
_atom_site_fract_x
_atom_site_fract_y
_atom_site_fract_z
K1 0.0000 0.0000 0.0000
K2 0.0000 0.0000 0.2214
Au1 0.0000 0.0000 0.5000

---

Record 2
# MgZn7Ag4 | the Alexandria database | GGA-PBE | optimized geometry
# Size of the total moment in μB per atom: 0.0000
# Calculated formation energy in eV per atom: 0.0955
data_MgZn7Ag4
_chemical_formula_sum 'Mg2 Zn14 Ag8'
_symmetry_space_group_name_H-M 'C 1 2/m 1'
_symmetry_Int_Tables_number 12
_symmetry_space_group_name_Hall '-C 2y'
_cell_length_a 9.7922
_cell_length_b 5.0548
_cell_length_c 9.5461
_cell_angle_alpha 90.00
_cell_angle_beta 116.04
_cell_angle_gamma 90.00
loop_
_atom_site_label
_atom_site_fract_x
_atom_site_fract_y
_atom_site_fract_z
Mg1 0.0000 0.0000 0.0000
Zn1 0.0000 0.5000 0.0000
Zn2 0.1212 0.0000 0.4716
Zn3 0.1675 0.5000 0.6283
Zn4 0.2017 0.5000 0.9119
Ag1 0.0868 0.5000 0.3119
Ag2 0.1528 0.0000 0.7731

---

Repeat the first record exactly.
# K3Au | the Alexandria database | GGA-PBE | optimized geometry
# Size of the total moment in μB per atom: 0.0005
# Calculated formation energy in eV per atom: -0.1275
data_K3Au
_chemical_formula_sum 'K9 Au3'
_symmetry_space_group_name_H-M 'R -3 m'
_symmetry_Int_Tables_number 166
_symmetry_space_group_name_Hall '-R 3 2"'
_cell_length_a 4.7774
_cell_length_b 4.7774
_cell_length_c 33.8499
_cell_angle_alpha 90.00
_cell_angle_beta 90.00
_cell_angle_gamma 120.00
loop_
_atom_site_label
_atom_site_fract_x
_atom_site_fract_y
_atom_site_fract_z
K1 0.0000 0.0000 0.0000
K2 0.0000 0.0000 0.2214
Au1 0.0000 0.0000 0.5000